VASP calculation (PBE) on a geometry-optimized BaBe3Cr structure.

Calculated values
- Formation energy from the elements: 803 meV/atom
- VASP energy: -0.2750 Ry per atom

Cell and atoms, written as CIF:
```
data_BaBe3Cr
_symmetry_space_group_name_H-M 'P m -3 m'
_symmetry_Int_Tables_number 221
_symmetry_space_group_name_Hall '-P 4 2 3'
_cell_length_a 4.650
_cell_length_b 4.650
_cell_length_c 4.650
_cell_angle_alpha 90.00
_cell_angle_beta 90.00
_cell_angle_gamma 90.00
loop_
_atom_site_label
_atom_site_type_symbol
_atom_site_fract_x
_atom_site_fract_y
_atom_site_fract_z
Ba1 Ba 0.000 0.000 0.000
Be1 Be 0.000 0.500 0.500
Cr1 Cr 0.500 0.500 0.500
```

VASP calculation (PBE) on a geometry-optimized KY3Zr structure.

Calculated values
- Formation energy from the elements: 606 meV/atom
- VASP energy: -0.3823 Ry per atom

Cell and atoms, written as CIF:
```
data_KY3Zr
_symmetry_space_group_name_H-M 'P m -3 m'
_symmetry_Int_Tables_number 221
_symmetry_space_group_name_Hall '-P 4 2 3'
_cell_length_a 5.803
_cell_length_b 5.803
_cell_length_c 5.803
_cell_angle_alpha 90.00
_cell_angle_beta 90.00
_cell_angle_gamma 90.00
loop_
_atom_site_label
_atom_site_type_symbol
_atom_site_fract_x
_atom_site_fract_y
_atom_site_fract_z
K1 K 0.000 0.000 0.000
Y1 Y 0.000 0.500 0.500
Zr1 Zr 0.500 0.500 0.500
```

VASP calculation (PBE) on a geometry-optimized TlGeAu structure.

Calculated values
- Formation energy from the elements: 143 meV/atom
- VASP energy: -0.2409 Ry per atom

Cell and atoms, written as CIF:
```
data_TlGeAu
_symmetry_space_group_name_H-M 'P n m a'
_symmetry_Int_Tables_number 62
_cell_length_a 5.786
_cell_length_b 4.429
_cell_length_c 11.173
_cell_angle_alpha 90.00
_cell_angle_beta 90.00
_cell_angle_gamma 90.00
loop_
_symmetry_equiv_pos_as_xyz
'x,y,z'
'-x,-y,-z'
'-x+1/2,-y,z+1/2'
'x+1/2,y,-z+1/2'
'x+1/2,-y+1/2,-z+1/2'
'-x+1/2,y+1/2,z+1/2'
'-x,y+1/2,-z'
'x,-y+1/2,z'
loop_
_atom_site_label
_atom_site_type_symbol
_atom_site_fract_x
_atom_site_fract_y
_atom_site_fract_z
Tl1 Tl 0.099 0.250 0.138
Ge1 Ge 0.121 0.250 0.445
Au1 Au 0.017 0.750 0.318
```

VASP calculation (PBE) on a geometry-optimized Ac4In2S structure.

Calculated values
- VASP energy: -0.3200 Ry per atom
- ΔE_f (raw): -0.6344 eV/atom

Cell and atoms, written as CIF:
```
data_Ac4In2S
_symmetry_space_group_name_H-M 'I 4/m m m'
_symmetry_Int_Tables_number 139
_symmetry_space_group_name_Hall '-I 4 2'
_cell_length_a 5.676
_cell_length_b 5.676
_cell_length_c 17.074
_cell_angle_alpha 90.00
_cell_angle_beta 90.00
_cell_angle_gamma 90.00
loop_
_atom_site_label
_atom_site_type_symbol
_atom_site_fract_x
_atom_site_fract_y
_atom_site_fract_z
Ac1 Ac 0.000 0.000 0.178
Ac2 Ac 0.000 0.500 0.000
In1 In 0.000 0.000 0.375
S1 S 0.000 0.000 0.000
```

Copy entry 4 word for word.
VASP calculation (PBE) on a geometry-optimized Ac4In2S structure.

Calculated values
- VASP energy: -0.3200 Ry per atom
- ΔE_f (raw): -0.6344 eV/atom

Cell and atoms, written as CIF:
```
data_Ac4In2S
_symmetry_space_group_name_H-M 'I 4/m m m'
_symmetry_Int_Tables_number 139
_symmetry_space_group_name_Hall '-I 4 2'
_cell_length_a 5.676
_cell_length_b 5.676
_cell_length_c 17.074
_cell_angle_alpha 90.00
_cell_angle_beta 90.00
_cell_angle_gamma 90.00
loop_
_atom_site_label
_atom_site_type_symbol
_atom_site_fract_x
_atom_site_fract_y
_atom_site_fract_z
Ac1 Ac 0.000 0.000 0.178
Ac2 Ac 0.000 0.500 0.000
In1 In 0.000 0.000 0.375
S1 S 0.000 0.000 0.000
```

> What is the VASP energy in the third record?

-0.2409 Ry per atom

> Which of these has the lowest VASP energy?

KY3Zr

> VASP energy of number 4 (Ac4In2S)?

-0.3200 Ry per atom